# 1
This record from Alexandria via LeMat-Bulk describes crystalline CeHo2Mg5 at its relaxed geometry. The functional is GGA-PBE.

Results
- energy relative to the elements (eV/atom) = -0.036
- energy (eV per atom) = -2.919

Cell lengths 5.2869, 5.2869, 14.9339 Å; angles 90.00, 90.00, 90.00 degrees
Space group I4/mmm (No. 139)
Asymmetric unit:
Ce  0.0000  0.0000  0.0000 x2
Ho  0.0000  0.0000  0.2581 x4
Mg  0.0000  0.0000  0.5000 x2
Mg  0.0000  0.5000  0.1223 x8

=====

# 2
This record from Alexandria via LeMat-Bulk describes crystalline CeHo2Mg at its relaxed geometry. The functional is GGA-PBE.

Results
- energy relative to the lowest polymorph listed for this composition (meV/atom) = 151.0
- energy relative to the elements (eV/atom) = 0.157
- energy (eV per atom) = -4.014

Cell lengths 7.7380, 7.7380, 7.7380 Å; angles 90.00, 90.00, 90.00 degrees
Space group Fm-3m (No. 225)
Asymmetric unit:
Ce  0.0000  0.0000  0.0000 x4
Ho  0.2500  0.2500  0.2500 x8
Mg  0.0000  0.0000  0.5000 x4

=====

# 3
This record from Alexandria via LeMat-Bulk describes crystalline CeHo2Mg at its relaxed geometry. The functional is GGA-PBE.

Results
- energy relative to the lowest polymorph listed for this composition (meV/atom) = 204.4
- energy relative to the elements (eV/atom) = 0.210
- energy (eV per atom) = -3.961

Cell lengths 3.3825, 3.3825, 36.3073 Å; angles 90.00, 90.00, 120.00 degrees
Space group R-3m (No. 166, hexagonal axes)
Asymmetric unit:
Ce  0.0000  0.0000  0.0000 x3
Ho  0.0000  0.0000  0.4105 x6
Mg  0.0000  0.0000  0.5000 x3

=====

# 4
This record from Alexandria via LeMat-Bulk describes crystalline CeHo4Mg at its relaxed geometry. The functional is GGA-PBE.

Results
- energy relative to the elements (eV/atom) = 0.020
- energy (eV per atom) = -4.286

Cell lengths 3.5387, 3.5387, 14.2072 Å; angles 90.00, 90.00, 90.00 degrees
Space group P4/mmm (No. 123)
Asymmetric unit:
Ce  0.0000  0.0000  0.0000 x1
Ho  0.0000  0.0000  0.3458 x2
Ho  0.5000  0.5000  0.1721 x2
Mg  0.5000  0.5000  0.5000 x1

=====

# 5
This record from Alexandria via LeMat-Bulk describes crystalline CeHoMg at its relaxed geometry. The functional is GGA-PBE.

Results
- energy relative to the lowest polymorph listed for this composition (meV/atom) = 17.3
- energy relative to the elements (eV/atom) = 0.055
- energy (eV per atom) = -3.980

Cell lengths 3.3718, 3.3718, 14.8537 Å; angles 90.00, 90.00, 90.00 degrees
Space group P4/nmm (No. 129, origin choice 2)
Asymmetric unit:
Ce  0.2500  0.2500  0.2347 x2
Ho  0.2500  0.2500  0.5882 x2
Mg  0.2500  0.2500  0.9314 x2

=====

# 6
This record from Alexandria via LeMat-Bulk describes crystalline Ce2HoMg at its relaxed geometry. The functional is GGA-PBE.

Results
- energy relative to the lowest polymorph listed for this composition (meV/atom) = 72.3
- energy relative to the elements (eV/atom) = 0.167
- energy (eV per atom) = -4.343

Cell lengths 7.7838, 7.7838, 7.7838 Å; angles 90.00, 90.00, 90.00 degrees
Space group Fm-3m (No. 225)
Asymmetric unit:
Ce  0.2500  0.2500  0.2500 x8
Ho  0.0000  0.0000  0.0000 x4
Mg  0.0000  0.0000  0.5000 x4